Entry 1:
VASP calculation (PBE) on Ho2Hf after structural relaxation.

Formation energy in eV per atom: 2.5921
E above lowest polymorph in meV per atom: 2452
Spin magnetization in μB per formula unit: 0.8
Total energy in eV per atom: -3.777

abc: 12.9764 12.9764 12.9764
angles: 90.00 90.00 90.00
Space group Fd-3m (No. 227, origin choice 2)
Inequivalent atoms, fractional coordinates:
Ho  0.0000  0.0000  0.0000 x16
Hf  0.1250  0.1250  0.1250 x8

Entry 2:
VASP calculation (PBE) on PrHfBe after structural relaxation.

E above lowest polymorph in meV per atom: 0
Spin magnetization in μB per formula unit: 0.8
Total energy in eV per atom: -5.058

abc: 6.5952 6.5952 6.5952
angles: 90.00 90.00 90.00
Space group F-43m (No. 216)
Inequivalent atoms, fractional coordinates:
Pr  0.0000  0.0000  0.0000 x4
Hf  0.2500  0.2500  0.7500 x4
Be  0.0000  0.0000  0.5000 x4

Entry 3:
VASP calculation (PBE) on TaGe2PdO6 after structural relaxation.

Spin magnetization in μB per formula unit: 0.3
Total energy in eV per atom: -6.679

abc: 7.9404 7.9404 7.9404
angles: 90.00 90.00 90.00
Space group Fm-3m (No. 225)
Inequivalent atoms, fractional coordinates:
Ta  0.0000  0.0000  0.0000 x4
Ge  0.2500  0.2500  0.2500 x8
Pd  0.0000  0.0000  0.5000 x4
O  0.0000  0.0000  0.2466 x24

Entry 4:
VASP calculation (PBE) on LuBNO after structural relaxation.

E above lowest polymorph in meV per atom: 353
Spin magnetization in μB per formula unit: 0.0
Total energy in eV per atom: -7.288

abc: 3.5624 3.5624 6.7072
angles: 90.00 90.00 90.00
Space group P4/nmm (No. 129, origin choice 2)
Inequivalent atoms, fractional coordinates:
Lu  0.2500  0.2500  0.1703 x2
B  0.2500  0.7500  0.5000 x2
N  0.2500  0.2500  0.5178 x2
O  0.2500  0.7500  0.0000 x2

Entry 5:
VASP calculation (PBE) on DyMg after structural relaxation.

Spin magnetization in μB per formula unit: 0.0
Total energy in eV per atom: -3.071

abc: 5.4721 17.0318 5.8831
angles: 90.00 90.00 90.00
Space group Amm2 (No. 38)
Inequivalent atoms, fractional coordinates:
Dy  0.0000  0.0000  0.0000 x2
Dy  0.0000  0.1017  0.5111 x4
Dy  0.5000  0.1048  0.1597 x4
Mg  0.0000  0.2024  0.9950 x4
Mg  0.5000  0.0000  0.6598 x2
Mg  0.5000  0.1997  0.6733 x4

Entry 6:
VASP calculation (PBE) on HfSbAsO after structural relaxation.

E above lowest polymorph in meV per atom: 129
Spin magnetization in μB per formula unit: 0.0
Total energy in eV per atom: -6.966

abc: 3.8513 3.8513 10.1971
angles: 90.00 90.00 90.00
Space group P4/nmm (No. 129, origin choice 2)
Inequivalent atoms, fractional coordinates:
Hf  0.2500  0.2500  0.1073 x2
Sb  0.2500  0.7500  0.5000 x2
As  0.2500  0.2500  0.7572 x2
O  0.2500  0.7500  0.0000 x2

Entry 7:
VASP calculation (PBE) on Ba2HfSc after structural relaxation.

Spin magnetization in μB per formula unit: 1.8
Total energy in eV per atom: -4.322

abc: 8.2209 8.2209 8.2209
angles: 90.00 90.00 90.00
Space group F-43m (No. 216)
Inequivalent atoms, fractional coordinates:
Ba  0.0000  0.0000  0.0000 x4
Ba  0.2500  0.2500  0.2500 x4
Hf  0.2500  0.2500  0.7500 x4
Sc  0.0000  0.0000  0.5000 x4

Entry 8:
VASP calculation (PBE) on DyPuSn after structural relaxation.

E above lowest polymorph in meV per atom: 0
Spin magnetization in μB per formula unit: 6.9
Total energy in eV per atom: -7.494

abc: 7.2086 7.2086 7.2086
angles: 90.00 90.00 90.00
Space group F-43m (No. 216)
Inequivalent atoms, fractional coordinates:
Dy  0.0000  0.0000  0.0000 x4
Pu  0.2500  0.2500  0.7500 x4
Sn  0.2500  0.2500  0.2500 x4